Entry 1:
Compound: K4NiPb
Source: Alexandria via LeMat-Bulk
Functional: PBE
Structure: relaxed

- ΔE_f: 0.68 eV/atom
- Energy: -1.636 eV per atom

abc: 6.935 6.935 6.935
angles: 60.00 60.00 60.00
Positions (direct):
Ni: 0.750 0.750 0.750
K: 0.375 0.375 0.874
K: 0.874 0.375 0.375
K: 0.375 0.874 0.375
K: 0.375 0.375 0.375
Pb: 0.000 0.000 0.000

Entry 2:
Compound: Ti5Sn4Mo
Source: Alexandria via LeMat-Bulk
Functional: PBE
Structure: relaxed

- ΔE_f: -0.03 eV/atom
- Energy: -6.661 eV per atom

abc: 5.683 6.636 6.636
angles: 79.44 64.65 64.65
Positions (direct):
Sn: 0.461 0.363 0.808
Sn: 0.632 0.637 0.192
Sn: 0.269 0.192 0.363
Sn: 0.824 0.808 0.637
Ti: 0.325 0.803 0.632
Ti: 0.957 0.368 0.803
Ti: 0.128 0.632 0.197
Ti: 0.760 0.197 0.368
Ti: 0.298 0.000 0.000
Mo: 0.857 0.000 0.000